(1)
Compound: PmPr6Ho12
Source: Alexandria
Functional: PBE
Structure: optimized geometry

Results
Total magnetization   0.000 μB/f.u.
Polymorph energy (0 for the lowest one)   0.000 eV per atom
Space-group type   No. 166
Calculated formation energy   0.22 eV per atom

Lattice parameters (Å, degrees): 8.771 8.771 8.771 98.69 98.69 98.69
Positions (direct):
Pm 0.000 0.000 0.000
Pr 0.099 0.099 0.655
Pr 0.099 0.655 0.099
Pr 0.345 0.901 0.901
Pr 0.655 0.099 0.099
Pr 0.901 0.345 0.901
Pr 0.901 0.901 0.345
Ho 0.081 0.356 0.356
Ho 0.244 0.500 0.756
Ho 0.244 0.756 0.500
Ho 0.356 0.081 0.356
Ho 0.356 0.356 0.081
Ho 0.500 0.244 0.756
Ho 0.500 0.756 0.244
Ho 0.644 0.644 0.919
Ho 0.644 0.919 0.644
Ho 0.756 0.244 0.500
Ho 0.756 0.500 0.244
Ho 0.919 0.644 0.644

(2)
Compound: Pm3Pr5Ho12
Source: Alexandria
Functional: PBE
Structure: optimized geometry

Results
Total magnetization   0.001 μB/f.u.
Space-group type   No. 230
Calculated formation energy   1.01 eV per atom

Lattice parameters (Å, degrees): 16.260 16.260 16.260 109.47 109.47 109.47
Positions (direct):
Pm 0.125 0.250 0.375
Pm 0.125 0.375 0.750
Pm 0.250 0.375 0.125
Pm 0.250 0.875 0.625
Pm 0.375 0.125 0.250
Pm 0.375 0.750 0.125
Pm 0.625 0.250 0.875
Pm 0.625 0.875 0.750
Pm 0.750 0.125 0.375
Pm 0.750 0.625 0.875
Pm 0.875 0.625 0.250
Pm 0.875 0.750 0.625
Pr 0.000 0.000 0.000
Pr 0.000 0.000 0.500
Pr 0.000 0.500 0.000
Pr 0.000 0.500 0.500
Pr 0.125 0.750 0.875
Pr 0.125 0.875 0.250
Pr 0.250 0.125 0.875
Pr 0.250 0.625 0.375
Pr 0.375 0.250 0.625
Pr 0.375 0.625 0.750
Pr 0.500 0.000 0.000
Pr 0.500 0.000 0.500
Pr 0.500 0.500 0.000
Pr 0.500 0.500 0.500
Pr 0.625 0.375 0.250
Pr 0.625 0.750 0.375
Pr 0.750 0.375 0.625
Pr 0.750 0.875 0.125
Pr 0.875 0.125 0.750
Pr 0.875 0.250 0.125
Ho 0.066 0.643 0.414
Ho 0.066 0.924 0.652
Ho 0.076 0.228 0.143
Ho 0.076 0.348 0.934
Ho 0.086 0.728 0.652
Ho 0.086 0.857 0.434
Ho 0.143 0.076 0.228
Ho 0.143 0.566 0.914
Ho 0.152 0.228 0.586
Ho 0.152 0.424 0.566
Ho 0.228 0.143 0.076
Ho 0.228 0.586 0.152
Ho 0.272 0.348 0.914
Ho 0.272 0.424 0.357
Ho 0.348 0.914 0.272
Ho 0.348 0.934 0.076
Ho 0.357 0.272 0.424
Ho 0.357 0.586 0.934
Ho 0.414 0.066 0.643
Ho 0.414 0.848 0.772
Ho 0.424 0.357 0.272
Ho 0.424 0.566 0.152
Ho 0.434 0.086 0.857
Ho 0.434 0.848 0.576
Ho 0.566 0.152 0.424
Ho 0.566 0.914 0.143
Ho 0.576 0.434 0.848
Ho 0.576 0.643 0.728
Ho 0.586 0.152 0.228
Ho 0.586 0.934 0.357
Ho 0.643 0.414 0.066
Ho 0.643 0.728 0.576
Ho 0.652 0.066 0.924
Ho 0.652 0.086 0.728
Ho 0.728 0.576 0.643
Ho 0.728 0.652 0.086
Ho 0.772 0.414 0.848
Ho 0.772 0.857 0.924
Ho 0.848 0.576 0.434
Ho 0.848 0.772 0.414
Ho 0.857 0.434 0.086
Ho 0.857 0.924 0.772
Ho 0.914 0.143 0.566
Ho 0.914 0.272 0.348
Ho 0.924 0.652 0.066
Ho 0.924 0.772 0.857
Ho 0.934 0.076 0.348
Ho 0.934 0.357 0.586

(3)
Compound: Pm9Pr2Ho
Source: Alexandria
Functional: PBE
Structure: optimized geometry

Results
Total magnetization   0.000 μB/f.u.
Polymorph energy (0 for the lowest one)   0.034 eV per atom
Space-group type   No. 191
Calculated formation energy   0.05 eV per atom

Lattice parameters (Å, degrees): 11.534 11.534 3.559 90.00 90.00 120.00
Positions (direct):
Pm 0.000 0.500 0.000
Pm 0.171 0.342 0.500
Pm 0.171 0.829 0.500
Pm 0.342 0.171 0.500
Pm 0.500 0.000 0.000
Pm 0.500 0.500 0.000
Pm 0.658 0.829 0.500
Pm 0.829 0.171 0.500
Pm 0.829 0.658 0.500
Pr 0.333 0.667 0.000
Pr 0.667 0.333 0.000
Ho 0.000 0.000 0.000